1.
Computed, not measured: a relaxed structure of Er2ThSi4 at the GGA-PBE level of DFT.

Cell lengths 3.9227, 4.2436, 17.4492 Å; angles 90.00, 90.00, 90.00 degrees
Closest atoms and distances in Å follow each position.
Space group Immm (No. 71)
Symmetry-distinct sites (fractional):
Er 0.0000 0.0000 0.1829 x4  7 Si 2.90-2.94
Th 0.0000 0.5000 0.5000 x2  12 Si 3.12-3.38
Si 0.0000 0.0000 0.3489 x4  2 Si 2.45
Si 0.0000 0.5000 0.0673 x4  3 Si 2.35-2.45

Results
Its energy is -43.484 eV per formula unit. Its spin magnetization is 0.00 μB per formula unit.

---

2.
Computed, not measured: a relaxed structure of Cs2NaZnIn at the GGA-PBE level of DFT.

Cell lengths 7.4319, 7.4319, 5.0839 Å; angles 90.00, 90.00, 90.00 degrees
Closest atoms and distances in Å follow each position.
Space group P4/mmm (No. 123)
Symmetry-distinct sites (fractional):
Cs 0.0000 0.5000 0.0000 x2  2 Zn 3.72
Na 0.0000 0.0000 0.5000 x1  8 Cs 4.50
Zn 0.5000 0.5000 0.0000 x1  2 In 2.54
In 0.5000 0.5000 0.5000 x1  2 Zn 2.54

Results
The calculation puts the formation energy at 0.13 eV per atom. Its spin magnetization is 0.00 μB per formula unit.

---

3.
Computed, not measured: a relaxed structure of Cs2ZrSnS5 at the GGA-PBE level of DFT.

Cell lengths 3.9310, 20.3618, 14.9880 Å; angles 90.00, 90.00, 90.00 degrees
Closest atoms and distances in Å follow each position.
Space group Cmc2_1 (No. 36)
Symmetry-distinct sites (fractional):
Cs 0.0000 0.1241 0.0000 x4  5 S 3.47-3.59
Cs 0.0000 0.1357 0.6365 x4  7 S 3.49-3.85
Zr 0.0000 0.2138 0.3500 x4  3 S 2.32-2.55
Sn 0.0000 0.4320 0.7509 x4  4 S 2.31-2.51
S 0.0000 0.0617 0.3544 x4  2 Sn 2.51
S 0.0000 0.2977 0.9570 x4  2 Zr 2.55
S 0.0000 0.3131 0.7249 x4  1 Sn 2.45
S 0.0000 0.3260 0.3217 x4  1 Zr 2.32
S 0.0000 0.4928 0.6207 x4  1 Sn 2.31

Results
Its energy is -44.806 eV per formula unit. Its spin magnetization is 0.00 μB per formula unit.

---

4.
Computed, not measured: a relaxed structure of BaEr4S8 at the GGA-PBE level of DFT.

Cell lengths 7.8766, 7.8766, 22.5792 Å; angles 90.00, 90.00, 120.00 degrees
Closest atoms and distances in Å follow each position.
Space group R-3m (No. 166, hexagonal axes)
Symmetry-distinct sites (fractional):
Ba 0.0000 0.0000 0.0000 x3  6 S 3.21
Er 0.0000 0.0000 0.5000 x3  6 S 2.72
Er 0.0000 0.5000 0.5000 x9  6 S 2.69-2.71
S 0.0000 0.0000 0.2305 x6  3 Er 2.69
S 0.0015 0.5007 0.7677 x18  3 Er 2.71-2.72

Results
Its energy is -76.201 eV per formula unit. Its spin magnetization is 0.00 μB per formula unit.

---

5.
Computed, not measured: a relaxed structure of Cd4Te3Se at the GGA-PBE level of DFT.

Cell lengths 4.6012, 9.2104, 6.5045 Å; angles 90.00, 90.00, 90.00 degrees
Closest atoms and distances in Å follow each position.
Space group Pmm2 (No. 25)
Symmetry-distinct sites (fractional):
Cd 0.0000 0.0000 0.0000 x1  2 Se 2.73, 2 Te 2.86
Cd 0.0000 0.5000 0.0314 x1  4 Te 2.84-2.85
Cd 0.5000 0.2385 0.5320 x2  1 Se 2.70, 3 Te 2.85-2.87
Te 0.0000 0.2428 0.2733 x2  4 Cd 2.84-2.86
Te 0.5000 0.5000 0.7723 x1  4 Cd 2.85-2.87
Se 0.5000 0.0000 0.7743 x1  4 Cd 2.70-2.73

Results
For the energy above the most stable polymorph in this dataset, the calculation gives 0.00 eV per formula unit. Its spin magnetization is 0.00 μB per formula unit.

---

6.
Computed, not measured: a relaxed structure of La2PrHoAs4 at the GGA-PBE level of DFT.

Cell lengths 7.4301, 4.2951, 7.4315 Å; angles 90.00, 109.47, 90.00 degrees
Closest atoms and distances in Å follow each position.
Space group P2/m (No. 10)
Symmetry-distinct sites (fractional):
La 0.0000 0.0000 0.0000 x1  6 As 3.04
La 0.0000 0.5000 0.5000 x1  6 As 3.09
Pr 0.5000 0.0000 0.5000 x1  6 As 3.03
Ho 0.5000 0.5000 0.0000 x1  6 As 2.97-2.98
As 0.2564 0.5000 0.2465 x2  1 Ho 2.97, 2 Pr 3.03, 3 La 3.04-3.09
As 0.2602 0.0000 0.7589 x2  2 Ho 2.98, 1 Pr 3.03, 3 La 3.04-3.09

Results
The calculation puts the formation energy at -1.53 eV per atom. Its spin magnetization is 0.00 μB per formula unit.

---

7.
Computed, not measured: a relaxed structure of Pr2Al7Ir at the GGA-PBE level of DFT.

Cell lengths 4.2266, 4.2266, 11.2146 Å; angles 90.00, 90.00, 90.00 degrees
Closest atoms and distances in Å follow each position.
Space group P-4m2 (No. 115)
Symmetry-distinct sites (fractional):
Pr 0.0000 0.5000 0.2497 x2  14 Al 3.21-3.51, 2 Ir 3.51
Al 0.0000 0.0000 0.0000 x1  4 Al 2.54
Al 0.0000 0.0000 0.5000 x1  4 Al 2.67
Al 0.0000 0.5000 0.6448 x2  5 Al 2.57-2.67
Al 0.0000 0.5000 0.8744 x2  3 Al 2.54-2.57, 2 Ir 2.54
Al 0.5000 0.5000 0.5000 x1  4 Al 2.67
Ir 0.5000 0.5000 0.0000 x1  4 Al 2.54

Results
The calculation puts the formation energy at -0.49 eV per atom. Its spin magnetization is 0.00 μB per formula unit.

---

8.
Computed, not measured: a relaxed structure of Ga2TcNi2 at the GGA-PBE level of DFT.

Cell lengths 7.0114, 7.0114, 2.6393 Å; angles 90.00, 90.00, 90.00 degrees
Closest atoms and distances in Å follow each position.
Space group P4/mbm (No. 127)
Symmetry-distinct sites (fractional):
Ga 0.1443 0.3557 0.0000 x4  6 Ni 2.40-2.47, 2 Ga 2.64
Tc 0.0000 0.0000 0.0000 x2  2 Tc 2.64, 4 Ga 2.69
Ni 0.1540 0.6540 0.5000 x4  6 Ga 2.40-2.47, 2 Ni 2.64

Results
The calculation puts the formation energy at -0.18 eV per atom. For the energy above the most stable polymorph in this dataset, the calculation gives 0.00 eV per formula unit. Its spin magnetization is 0.00 μB per formula unit.

---

9.
Computed, not measured: a relaxed structure of SrLaFe at the GGA-PBE level of DFT.

Cell lengths 4.1717, 4.1717, 6.2090 Å; angles 90.00, 90.00, 120.00 degrees
Closest atoms and distances in Å follow each position.
Space group P3m1 (No. 156)
Symmetry-distinct sites (fractional):
Sr 0.0000 0.0000 0.0000 x1  3 Fe 3.26
La 0.3333 0.6667 0.4646 x1  3 Fe 2.51
Fe 0.6667 0.3333 0.3529 x1  3 La 2.51

Results
The calculation puts the formation energy at 0.43 eV per atom. For the energy above the most stable polymorph in this dataset, the calculation gives 0.24 eV per formula unit. Its spin magnetization is 0.17 μB per formula unit.

---

10.
Computed, not measured: a relaxed structure of ScTa2VCd at the GGA-PBE level of DFT.

Cell lengths 4.6442, 4.6442, 5.0322 Å; angles 90.00, 90.00, 90.00 degrees
Closest atoms and distances in Å follow each position.
Space group P4/mmm (No. 123)
Symmetry-distinct sites (fractional):
Sc 0.0000 0.0000 0.0000 x1  2 V 2.52
Ta 0.0000 0.5000 0.5000 x2  2 V 2.32
V 0.0000 0.0000 0.5000 x1  4 Ta 2.32, 2 Sc 2.52
Cd 0.5000 0.5000 0.0000 x1  4 Sc 3.28, 8 Ta 3.42

Results
The calculation puts the formation energy at 0.90 eV per atom. Its spin magnetization is 0.00 μB per formula unit.

---

11.
Computed, not measured: a relaxed structure of Pm2Ge3PdPt4 at the GGA-PBE level of DFT.

Cell lengths 4.2594, 4.2594, 10.6757 Å; angles 90.00, 90.00, 90.00 degrees
Closest atoms and distances in Å follow each position.
Space group P-4m2 (No. 115)
Symmetry-distinct sites (fractional):
Pm 0.0000 0.5000 0.2423 x2  8 Pt 3.18-3.48, 6 Ge 3.31-3.35, 2 Pd 3.35
Ge 0.0000 0.0000 0.0000 x1  4 Pt 2.64
Ge 0.0000 0.5000 0.6282 x2  5 Pt 2.41-2.53
Pd 0.5000 0.5000 0.0000 x1  4 Pt 2.64
Pt 0.0000 0.0000 0.5000 x1  4 Ge 2.53
Pt 0.0000 0.5000 0.8534 x2  3 Ge 2.41-2.64, 2 Pd 2.64
Pt 0.5000 0.5000 0.5000 x1  4 Ge 2.53

Results
The calculation puts the formation energy at -0.86 eV per atom. Its spin magnetization is 0.00 μB per formula unit.

---

12.
Computed, not measured: a relaxed structure of ScMn2Cr at the GGA-PBE level of DFT.

Cell lengths 3.0097, 4.3046, 8.8570 Å; angles 90.00, 90.00, 90.00 degrees
Closest atoms and distances in Å follow each position.
Space group Imm2 (No. 44)
Symmetry-distinct sites (fractional):
Sc 0.0000 0.0000 0.0000 x2  6 Mn 2.63-2.80, 2 Cr 2.80
Mn 0.0000 0.0000 0.5236 x2  2 Cr 2.39, 4 Sc 2.63
Mn 0.0000 0.5000 0.7669 x2  4 Cr 2.64, 2 Mn 2.73, 2 Sc 2.80
Cr 0.0000 0.5000 0.2331 x2  6 Mn 2.39-2.64

Results
The calculation puts the formation energy at 0.18 eV per atom. For the energy above the most stable polymorph in this dataset, the calculation gives 0.48 eV per formula unit. Its spin magnetization is 2.16 μB per formula unit.

---

13.
Computed, not measured: a relaxed structure of Ag3SBr at the GGA-PBE level of DFT.

Cell lengths 9.3963, 9.7453, 10.0596 Å; angles 90.00, 90.00, 90.00 degrees
Closest atoms and distances in Å follow each position.
Space group Fmm2 (No. 42)
Symmetry-distinct sites (fractional):
Ag 0.0000 0.0000 0.0000 x4  2 S 2.65, 2 Br 2.75
Ag 0.0000 0.0000 0.3580 x4  2 S 2.46
Ag 0.2010 0.0000 0.6065 x8  2 S 2.55-2.57
Ag 0.2500 0.2500 0.2948 x8  2 S 2.52
S 0.2380 0.0000 0.8593 x8  6 Ag 2.46-2.65
Br 0.0000 0.2427 0.6111 x8  5 Ag 2.75-3.03

Results
Its energy is -15.011 eV per formula unit. Its spin magnetization is 0.00 μB per formula unit.